# MgMn2ZnO (GGA+U, optimized geometry)
data_MgMn2ZnO
_chemical_formula_sum 'Mg1 Mn2 Zn1 O1'
_cell_length_a 4.167
_cell_length_b 4.167
_cell_length_c 5.036
_cell_angle_alpha 90.00
_cell_angle_beta 90.00
_cell_angle_gamma 90.00
_space_group_name_H-M_alt 'P 4/m m m'
_space_group_IT_number 123
_space_group_name_Hall '-P 4 2'
loop_
_atom_site_label
_atom_site_type_symbol
_atom_site_fract_x
_atom_site_fract_y
_atom_site_fract_z
Mg1 Mg 0.000 0.000 0.000
Mn1 Mn 0.000 0.500 0.500
Zn1 Zn 0.500 0.500 0.000
O1 O 0.500 0.500 0.500
# final energy: -4.7705 eV per atom